VASP calculation (GGA-PBE) on a relaxed Zn2SiW crystal.

The structure belongs to space group P4/mmm (No. 123); the cell edges are 4.787, 4.787 and 2.667 Å and the angles 90.00°, 90.00° and 90.00°. The inequivalent atoms are Zn at (0.000, 0.500, 0.000), Si at (0.000, 0.000, 0.500) and W at (0.500, 0.500, 0.500).

For the formation energy (no corrections), the calculation gives 0.438 eV per atom. The density comes out at 9.31 g/cm³. For the total energy, the calculation gives -4.79 eV/atom.